Entry 1:
# Rb2In2AgTe4

Rb2In2AgTe4 after structural relaxation (PBE, Alexandria via LeMat-Bulk).

a b c (Å): 16.8131 4.9337 8.4112
angles (deg): 90.00 105.77 90.00
With the nearest neighbours (Å) after each atom.
Space group C2/m (No. 12)
Asymmetric unit:
Rb1 0.1216 0.0000 0.0569  7 Te 3.79-3.94, 1 Rb 3.94
In1 0.1587 0.5000 0.5017  4 Te 2.79-3.06
Ag1 0.0000 0.0000 0.5000  6 Te 3.19-3.44
Te1 0.0061 0.5000 0.2636  1 In 2.79
Te2 0.2090 0.0000 0.6862  3 In 2.91-3.06

Output
**Mass density**: 5.04 Mg/m³
**DOS at the Fermi energy**: 1.45 states/eV/cell
**E_form (uncorrected)**: -0.49 eV per atom

Entry 2:
# RbTl2InAg

RbTl2InAg after structural relaxation (PBE, Alexandria via LeMat-Bulk).

a b c (Å): 5.7070 5.7070 5.5255
angles (deg): 90.00 90.00 90.00
With the nearest neighbours (Å) after each atom.
Space group P4/mmm (No. 123)
Asymmetric unit:
Rb1 0.0000 0.0000 0.0000  8 Tl 3.97, 4 In 4.04
Tl1 0.0000 0.5000 0.5000  2 Ag 2.85
In1 0.5000 0.5000 0.0000  2 Ag 2.76
Ag1 0.5000 0.5000 0.5000  2 In 2.76, 4 Tl 2.85

Output
**Mass density**: 6.61 Mg/m³
**DOS at the Fermi energy**: 2.75 states/eV/cell
**Calculated total energy**: -0.158 Ry/atom

Entry 3:
# RbTlInAg

RbTlInAg after structural relaxation (PBE, Alexandria via LeMat-Bulk).

a b c (Å): 4.9934 4.9934 19.6040
angles (deg): 90.00 90.00 120.00
With the nearest neighbours (Å) after each atom.
Space group R3m (No. 160, hexagonal axes)
Asymmetric unit:
Rb1 0.0000 0.0000 0.0000  4 Ag 3.78-3.98, 4 Tl 3.85-3.99, 3 In 3.99
Tl1 0.0000 0.0000 0.7966  3 In 3.13, 3 Ag 3.14
In1 0.0000 0.0000 0.5256  3 Ag 2.88, 3 Tl 3.13
Ag1 0.0000 0.0000 0.1930  3 In 2.88, 3 Tl 3.14

Output
**Mass density**: 6.03 Mg/m³
**DOS at the Fermi energy**: 5.71 states/eV/cell
**Calculated total energy**: -0.167 Ry/atom

Entry 4:
# RbVIn2Ag

RbVIn2Ag after structural relaxation (PBE, Alexandria via LeMat-Bulk).

a b c (Å): 5.2994 5.2994 5.8630
angles (deg): 90.00 90.00 90.00
With the nearest neighbours (Å) after each atom.
Space group P4/mmm (No. 123)
Asymmetric unit:
Rb1 0.0000 0.0000 0.0000  2 V 2.93
V1 0.0000 0.0000 0.5000  4 In 2.65, 2 Rb 2.93
In1 0.0000 0.5000 0.5000  2 V 2.65
Ag1 0.5000 0.5000 0.0000  4 Rb 3.75, 8 In 3.95

Output
**Mass density**: 4.78 Mg/m³
**DOS at the Fermi energy**: 5.66 states/eV/cell
**Calculated total energy**: -0.203 Ry/atom

Entry 5:
# RbZnIn8Ag2

RbZnIn8Ag2 after structural relaxation (PBE, Alexandria via LeMat-Bulk).

a b c (Å): 10.0580 6.9436 9.9521
angles (deg): 90.00 114.17 90.00
With the nearest neighbours (Å) after each atom.
Space group C2/m (No. 12)
Asymmetric unit:
Rb1 0.0000 0.0000 0.0000  8 In 3.49-3.80
Zn1 0.0000 0.5000 0.5000  2 Ag 2.78, 4 In 2.80
In1 0.1441 0.2355 0.7258  1 Zn 2.80, 2 Ag 2.99-3.13
In2 0.1502 0.5000 0.9929  2 Ag 2.95-3.10, 5 In 3.08-3.21
In3 0.1614 0.0000 0.4153  1 Ag 2.90, 1 Zn 3.16, 2 In 3.25
Ag1 0.1127 0.5000 0.2873  1 Zn 2.78, 5 In 2.90-3.10

Output
**Mass density**: 6.73 Mg/m³
**DOS at the Fermi energy**: 8.95 states/eV/cell
**Calculated total energy**: -0.182 Ry/atom

Entry 6:
# In2ReAg

In2ReAg after structural relaxation (PBE, Alexandria via LeMat-Bulk).

a b c (Å): 6.7289 6.7289 6.7289
angles (deg): 90.00 90.00 90.00
With the nearest neighbours (Å) after each atom.
Space group F-43m (No. 216)
Asymmetric unit:
In1 0.0000 0.0000 0.0000  4 In 2.91, 4 Ag 2.91
In2 0.2500 0.2500 0.2500  4 In 2.91, 4 Re 2.91
Re1 0.0000 0.0000 0.5000  4 Ag 2.91, 4 In 2.91
Ag1 0.2500 0.2500 0.7500  4 In 2.91, 4 Re 2.91

Output
**Mass density**: 11.42 Mg/m³
**DOS at the Fermi energy**: 9.37 states/eV/cell
**ΔE to the lowest computed polymorph**: 1.45 eV/f.u.

Entry 7:
# InRe2Ag

InRe2Ag after structural relaxation (PBE, Alexandria via LeMat-Bulk).

a b c (Å): 9.1833 2.8511 5.2219
angles (deg): 90.00 97.66 90.00
With the nearest neighbours (Å) after each atom.
Space group Cm (No. 8)
Asymmetric unit:
In1 0.0000 0.0000 0.0000  3 Ag 2.67-2.84, 2 In 2.85, 5 Re 2.90-2.97
Re1 0.0064 0.5000 0.5173  5 Re 2.63-2.85, 2 In 2.90, 1 Ag 2.92
Re2 0.2515 0.0000 0.6952  5 Re 2.63-2.85, 2 Ag 2.86
Ag1 0.2537 0.5000 0.2203  3 In 2.67-2.84, 2 Ag 2.85, 5 Re 2.86-2.98

Output
**Mass density**: 14.59 Mg/m³
**DOS at the Fermi energy**: 6.89 states/eV/cell
**Calculated total energy**: -0.519 Ry/atom

Entry 8:
# In2ReAg

In2ReAg after structural relaxation (PBE, Alexandria via LeMat-Bulk).

a b c (Å): 2.9161 4.1979 6.1614
angles (deg): 90.00 90.09 90.00
With the nearest neighbours (Å) after each atom.
Space group P2/m (No. 10)
Asymmetric unit:
In1 0.0005 0.0000 0.2378  4 In 2.92-3.23, 4 Re 2.95, 4 Ag 3.02-3.03
Re1 0.5000 0.5000 0.0000  2 Re 2.92, 8 In 2.95, 2 Ag 3.08
Ag1 0.5000 0.5000 0.5000  2 Ag 2.92, 8 In 3.02-3.03, 2 Re 3.08

Output
**Mass density**: 11.53 Mg/m³
**DOS at the Fermi energy**: 2.45 states/eV/cell
**ΔE to the lowest computed polymorph**: 0.19 eV/f.u.

Entry 9:
# InRe2Ag

InRe2Ag after structural relaxation (PBE, Alexandria via LeMat-Bulk).

a b c (Å): 4.2741 4.2741 7.3159
angles (deg): 90.00 90.00 90.00
With the nearest neighbours (Å) after each atom.
Space group I-4m2 (No. 119)
Asymmetric unit:
In1 0.0000 0.0000 0.0000  8 Re 2.81-3.02, 4 Ag 2.81
Re1 0.0000 0.0000 0.5000  4 Re 2.81, 4 Ag 2.81, 4 In 3.02
Re2 0.0000 0.5000 0.7500  4 In 2.81, 4 Re 2.81, 4 Ag 3.02
Ag1 0.0000 0.5000 0.2500  4 In 2.81, 8 Re 2.81-3.02

Output
**Mass density**: 14.79 Mg/m³
**DOS at the Fermi energy**: 5.12 states/eV/cell
**Calculated total energy**: -0.513 Ry/atom

Entry 10:
# In2ReAg

In2ReAg after structural relaxation (PBE, Alexandria via LeMat-Bulk).

a b c (Å): 3.0103 3.0103 8.4273
angles (deg): 90.00 90.00 90.00
With the nearest neighbours (Å) after each atom.
Space group P4/mmm (No. 123)
Asymmetric unit:
In1 0.0000 0.0000 0.2307  4 Re 2.88, 4 In 3.01, 4 Ag 3.11
Re1 0.5000 0.5000 0.0000  8 In 2.88, 4 Re 3.01
Ag1 0.5000 0.5000 0.5000  4 Ag 3.01, 8 In 3.11

Output
**Mass density**: 11.39 Mg/m³
**DOS at the Fermi energy**: 3.02 states/eV/cell
**ΔE to the lowest computed polymorph**: 0.16 eV/f.u.

Entry 11:
# In2ReAg

In2ReAg after structural relaxation (PBE, Alexandria via LeMat-Bulk).

a b c (Å): 6.1981 7.9034 3.0352
angles (deg): 90.00 90.20 90.00
With the nearest neighbours (Å) after each atom.
Space group C2/m (No. 12)
Asymmetric unit:
In1 0.2500 0.2500 0.0000  4 Re 2.93-2.94, 4 Ag 2.93-2.94, 4 In 3.04-3.10
Re1 0.0000 0.0000 0.5000  8 In 2.93-2.94, 2 Re 3.04, 2 Ag 3.10
Ag1 0.0000 0.5000 0.5000  8 In 2.93-2.94, 2 Ag 3.04, 2 Re 3.10

Output
**Mass density**: 11.70 Mg/m³
**DOS at the Fermi energy**: 5.28 states/eV/cell
**ΔE to the lowest computed polymorph**: 0.09 eV/f.u.

Entry 12:
# In2ReAg

In2ReAg after structural relaxation (PBE, Alexandria via LeMat-Bulk).

a b c (Å): 2.9050 4.7074 12.2768
angles (deg): 90.00 90.00 90.00
With the nearest neighbours (Å) after each atom.
Space group Imm2 (No. 44)
Asymmetric unit:
In1 0.0000 0.0000 0.0000  4 Re 2.78, 2 In 2.91
In2 0.0000 0.5000 0.2159  2 Re 2.82, 2 In 2.91, 4 Ag 3.03
Re1 0.0000 0.0000 0.5192  6 In 2.78-2.82, 2 Ag 2.88, 2 Re 2.91
Ag1 0.0000 0.5000 0.8169  2 Re 2.88, 2 Ag 2.91, 4 In 3.03

Output
**Mass density**: 10.36 Mg/m³
**DOS at the Fermi energy**: 3.83 states/eV/cell
**ΔE to the lowest computed polymorph**: 0.01 eV/f.u.

Entry 13:
# In2ReAg

In2ReAg after structural relaxation (PBE, Alexandria via LeMat-Bulk).

a b c (Å): 3.9867 3.9867 9.4676
angles (deg): 90.00 90.00 90.00
With the nearest neighbours (Å) after each atom.
Space group I-4m2 (No. 119)
Asymmetric unit:
In1 0.0000 0.0000 0.0000  4 Ag 2.82, 4 In 3.09, 4 Re 3.09
In2 0.0000 0.5000 0.2500  4 Re 2.82, 4 In 3.09, 4 Ag 3.09
Re1 0.0000 0.5000 0.7500  8 In 2.82-3.09, 4 Ag 3.09
Ag1 0.0000 0.0000 0.5000  8 In 2.82-3.09, 4 Re 3.09

Output
**Mass density**: 11.56 Mg/m³
**DOS at the Fermi energy**: 6.69 states/eV/cell
**ΔE to the lowest computed polymorph**: 0.43 eV/f.u.

Entry 14:
# InRe2Ag

InRe2Ag after structural relaxation (PBE, Alexandria via LeMat-Bulk).

a b c (Å): 3.2095 4.7761 9.0624
angles (deg): 90.00 90.00 90.00
With the nearest neighbours (Å) after each atom.
Space group Imm2 (No. 44)
Asymmetric unit:
In1 0.0000 0.0000 0.0000  2 Ag 2.85, 6 Re 2.88-2.89
Re1 0.0000 0.0000 0.4734  2 Re 2.49
Re2 0.0000 0.5000 0.7637  2 Re 2.49
Ag1 0.0000 0.5000 0.2397  2 In 2.85, 8 Re 2.89-3.19

Output
**Mass density**: 14.23 Mg/m³
**DOS at the Fermi energy**: 4.88 states/eV/cell
**Calculated total energy**: -0.512 Ry/atom

Entry 15:
# In4ReAg

In4ReAg after structural relaxation (PBE, Alexandria via LeMat-Bulk).

a b c (Å): 8.0230 8.0230 8.0230
angles (deg): 90.00 90.00 90.00
With the nearest neighbours (Å) after each atom.
Space group F-43m (No. 216)
Asymmetric unit:
In1 0.1250 0.1250 0.1250  6 In 2.84
Re1 0.2500 0.2500 0.7500  12 In 3.33, 4 Ag 3.47
Ag1 0.0000 0.0000 0.5000  12 In 3.33, 4 Re 3.47

Output
**Mass density**: 9.69 Mg/m³
**DOS at the Fermi energy**: 9.21 states/eV/cell
**Calculated total energy**: -0.256 Ry/atom

Entry 16:
# InRe3Ag

InRe3Ag after structural relaxation (PBE, Alexandria via LeMat-Bulk).

a b c (Å): 4.7993 4.7993 4.7993
angles (deg): 90.00 90.00 90.00
With the nearest neighbours (Å) after each atom.
Space group Pm-3m (No. 221)
Asymmetric unit:
In1 0.0000 0.0000 0.0000  12 Re 3.39
Re1 0.0000 0.5000 0.5000  2 Ag 2.40
Ag1 0.5000 0.5000 0.5000  6 Re 2.40

Output
**Mass density**: 11.74 Mg/m³
**DOS at the Fermi energy**: 7.25 states/eV/cell
**ΔE to the lowest computed polymorph**: 0.00 eV/f.u.

Entry 17:
# In2ReAg

In2ReAg after structural relaxation (PBE, Alexandria via LeMat-Bulk).

a b c (Å): 4.1768 4.1768 8.5857
angles (deg): 90.00 90.00 90.00
With the nearest neighbours (Å) after each atom.
Space group I4/mmm (No. 139)
Asymmetric unit:
In1 0.0000 0.5000 0.2500  4 In 2.95, 4 Re 2.99, 4 Ag 2.99
Re1 0.0000 0.0000 0.0000  4 Ag 2.95, 8 In 2.99
Ag1 0.0000 0.0000 0.5000  4 Re 2.95, 8 In 2.99

Output
**Mass density**: 11.61 Mg/m³
**DOS at the Fermi energy**: 5.62 states/eV/cell
**ΔE to the lowest computed polymorph**: 0.48 eV/f.u.

Entry 18:
# InRe2Ag

InRe2Ag after structural relaxation (PBE, Alexandria via LeMat-Bulk).

a b c (Å): 2.9751 4.7840 9.7866
angles (deg): 90.00 90.00 90.00
With the nearest neighbours (Å) after each atom.
Space group Cmm2 (No. 35)
Asymmetric unit:
In1 0.0000 0.0000 0.0000  6 In 2.82-2.98, 2 Re 2.97, 2 Ag 3.01
Re1 0.0000 0.0000 0.5227  6 Re 2.58-2.82
Re2 0.0000 0.5000 0.7379  6 Re 2.58-2.82
Ag1 0.0000 0.5000 0.2669  6 Ag 2.82-2.98, 2 Re 2.91, 2 In 3.01

Output
**Mass density**: 14.19 Mg/m³
**DOS at the Fermi energy**: 3.21 states/eV/cell
**Calculated total energy**: -0.526 Ry/atom

Entry 19:
# InRe2Ag

InRe2Ag after structural relaxation (PBE, Alexandria via LeMat-Bulk).

a b c (Å): 3.1087 4.5753 9.5522
angles (deg): 90.00 90.00 90.00
With the nearest neighbours (Å) after each atom.
Space group Cmmm (No. 65)
Asymmetric unit:
In1 0.0000 0.0000 0.0000  4 In 2.77, 4 Re 2.83
Re1 0.0000 0.5000 0.2478  4 Re 2.77, 2 In 2.83, 2 Ag 2.87
Ag1 0.0000 0.0000 0.5000  4 Ag 2.77, 4 Re 2.87

Output
**Mass density**: 14.55 Mg/m³
**DOS at the Fermi energy**: 4.77 states/eV/cell
**Calculated total energy**: -0.503 Ry/atom

Entry 20:
# InRe2Ag

InRe2Ag after structural relaxation (PBE, Alexandria via LeMat-Bulk).

a b c (Å): 2.7567 2.7567 8.9091
angles (deg): 90.00 90.00 90.00
With the nearest neighbours (Å) after each atom.
Space group P4/mmm (No. 123)
Asymmetric unit:
In1 0.0000 0.0000 0.0000  4 In 2.76, 8 Re 2.99
Re1 0.5000 0.5000 0.2539  4 Re 2.76, 4 Ag 2.93, 4 In 2.99
Ag1 0.0000 0.0000 0.5000  4 Ag 2.76, 8 Re 2.93

Output
**Mass density**: 14.60 Mg/m³
**DOS at the Fermi energy**: 4.42 states/eV/cell
**Calculated total energy**: -0.496 Ry/atom